DyMn2SnO6: relaxed, PBE+U.

It has space group P1 (No. 1), with a = 5.388 Å, b = 5.392 Å, c = 5.778 Å, α = 90.11°, β = 117.59° and γ = 119.91°. The distinct sites, in fractional coordinates, are Dy at (0.000, 0.000, 0.000), Mn at (0.547, 0.274, 0.821), Mn at (0.586, 0.793, 0.381), Sn at (0.968, 0.483, 0.451), O at (0.054, 0.182, 0.641), O at (0.104, 0.434, 0.171), O at (0.460, 0.870, 0.640), O at (0.501, 0.067, 0.173), O at (0.738, 0.669, 0.172) and O at (0.769, 0.587, 0.641).

The calculation puts the calculated total energy at -73.2 eV/f.u. The crystal system is triclinic.